Record 1
! As2PtBr GGA-PBE optimized geometry; values from VASP
! **Uncorrected formation energy**: -0.01 eV/atom
! **ρ**: 7.96 Mg/m³
! **Electronic total energy**: -17.07 eV/f.u.
&SYSTEM
  ibrav = 0, nat = 4, ntyp = 3
/
ATOMIC_SPECIES
As 74.92 As.upf
Pt 195.08 Pt.upf
Br 79.90 Br.upf
CELL_PARAMETERS angstrom
-1.662 1.726 1.427
-2.511 -0.270 -2.599
-3.560 -6.860 4.151
ATOMIC_POSITIONS crystal
As 0.000 0.000 0.922
Pt 0.500 0.500 0.750
As 0.000 0.000 0.578
Br 0.500 0.500 0.250

***

Record 2
! As2PtBr GGA-PBE optimized geometry; values from VASP
! **Uncorrected formation energy**: -0.02 eV/atom
! **ρ**: 7.26 Mg/m³
! **Electronic total energy**: -17.08 eV/f.u.
&SYSTEM
  ibrav = 0, nat = 4, ntyp = 3
/
ATOMIC_SPECIES
As 74.92 As.upf
Pt 195.08 Pt.upf
Br 79.90 Br.upf
CELL_PARAMETERS angstrom
6.998 0.022 0.013
4.773 5.117 -0.013
-5.668 -3.068 2.726
ATOMIC_POSITIONS crystal
As 0.725 0.225 0.500
As 0.109 0.109 0.000
Pt 0.251 0.751 0.500
Br 0.415 0.415 0.000

***

Record 3
! AsPtBr2 GGA-PBE optimized geometry; values from VASP
! **Uncorrected formation energy**: 0.47 eV/atom
! **ρ**: 7.88 Mg/m³
! **Electronic total energy**: -12.16 eV/f.u.
&SYSTEM
  ibrav = 0, nat = 4, ntyp = 3
/
ATOMIC_SPECIES
Br 79.90 Br.upf
As 74.92 As.upf
Pt 195.08 Pt.upf
CELL_PARAMETERS angstrom
7.562 2.460 5.031
7.559 -0.872 5.536
8.985 0.410 2.766
ATOMIC_POSITIONS crystal
Br 0.912 0.912 0.912
As 0.500 0.500 0.500
Br 0.088 0.088 0.088
Pt 0.000 0.000 0.000

***

Record 4
! AsPtBr2 GGA-PBE optimized geometry; values from VASP
! **Uncorrected formation energy**: 0.54 eV/atom
! **ρ**: 8.25 Mg/m³
! **Electronic total energy**: -11.88 eV/f.u.
&SYSTEM
  ibrav = 0, nat = 4, ntyp = 3
/
ATOMIC_SPECIES
Br 79.90 Br.upf
Pt 195.08 Pt.upf
As 74.92 As.upf
CELL_PARAMETERS angstrom
-0.749 -1.918 -2.512
-3.928 -2.977 3.443
-3.197 2.826 -1.204
ATOMIC_POSITIONS crystal
Br 0.500 0.500 0.000
Br 0.000 0.000 0.000
Pt 0.500 0.000 0.500
As 0.000 0.500 0.500

***

Record 5
! AsPtBr2 GGA-PBE optimized geometry; values from VASP
! **Uncorrected formation energy**: 0.40 eV/atom
! **ρ**: 7.79 Mg/m³
! **Electronic total energy**: -12.44 eV/f.u.
&SYSTEM
  ibrav = 0, nat = 4, ntyp = 3
/
ATOMIC_SPECIES
As 74.92 As.upf
Br 79.90 Br.upf
Pt 195.08 Pt.upf
CELL_PARAMETERS angstrom
4.008 0.000 0.000
0.000 4.803 -0.035
0.000 0.741 4.753
ATOMIC_POSITIONS crystal
As 0.500 0.750 0.750
Br 0.000 0.020 0.020
Br 0.000 0.480 0.480
Pt 0.500 0.250 0.250

***

Record 6
! As2PtBr GGA-PBE optimized geometry; values from VASP
! **Uncorrected formation energy**: 0.45 eV/atom
! **ρ**: 9.44 Mg/m³
! **Electronic total energy**: -15.20 eV/f.u.
&SYSTEM
  ibrav = 0, nat = 4, ntyp = 3
/
ATOMIC_SPECIES
As 74.92 As.upf
Br 79.90 Br.upf
Pt 195.08 Pt.upf
CELL_PARAMETERS angstrom
0.000 3.343 3.343
3.343 0.000 3.343
3.343 3.343 0.000
ATOMIC_POSITIONS crystal
As 0.250 0.250 0.250
As 0.750 0.750 0.750
Br 0.000 0.000 0.000
Pt 0.500 0.500 0.500